A plane-wave DFT calculation with PBE+U was carried out for a relaxed structure of Cr2OsF.

```
Cr2OsF
1.0
0.000 3.109 3.109
3.109 0.000 3.109
3.109 3.109 0.000
Cr Os F
2 1 1
Cartesian
1.555 1.555 1.555 Cr
4.664 4.664 4.664 Cr
0.000 0.000 0.000 Os
3.109 3.109 3.109 F
```

## Properties
Total moment in μB per atom: 1.728
Space-group type: Fm-3m (225)
Energy above the most stable polymorph in this dataset in kJ/mol of formula units: 65